1.
A plane-wave DFT calculation with PBE was carried out for NaLa2As3Pt4 after structural relaxation.

Output
E, eV/atom: -5.7761
V, Å³ per cell: 204.28
Mass density, Mg/m³: 10.6

abc: 4.3524 4.3524 10.7834
angles: 90.00 90.00 90.00
Closest atoms and distances in Å follow each position.
Space group P-4m2 (No. 115)
One atom of each set of equivalent atoms:
Na1 0.0000 0.0000 0.0000 (multiplicity 1)  4 Pt 2.69
La1 0.0000 0.5000 0.7344 (multiplicity 2)  6 As 3.28-3.60, 8 Pt 3.34, 2 Na 3.60
As1 0.0000 0.5000 0.3720 (multiplicity 2)  5 Pt 2.44-2.58
As2 0.5000 0.5000 0.0000 (multiplicity 1)  4 Pt 2.69
Pt1 0.0000 0.0000 0.5000 (multiplicity 1)  4 As 2.58
Pt2 0.0000 0.5000 0.1459 (multiplicity 2)  3 As 2.44-2.69, 2 Na 2.69
Pt3 0.5000 0.5000 0.5000 (multiplicity 1)  4 As 2.58

2.
A plane-wave DFT calculation with PBE was carried out for KBe3Fe after structural relaxation.

Output
E above lowest polymorph, eV/atom: 2.120
E, eV/atom: -1.1874
V, Å³ per cell: 81.35
Mass density, Mg/m³: 2.5

abc: 4.3329 4.3329 4.3329
angles: 90.00 90.00 90.00
Closest atoms and distances in Å follow each position.
Space group Pm-3m (No. 221)
One atom of each set of equivalent atoms:
K1 0.0000 0.0000 0.0000 (multiplicity 1)  6 Be 2.17
Be1 0.0000 0.0000 0.5000 (multiplicity 3)  2 K 2.17
Fe1 0.5000 0.5000 0.5000 (multiplicity 1)  12 Be 3.06

3.
A plane-wave DFT calculation with PBE was carried out for Tb5Nd12Sc2 after structural relaxation.

Output
E above lowest polymorph, eV/atom: 0.013
E, eV/atom: -4.7371
V, Å³ per cell: 1278.85
Mass density, Mg/m³: 6.8

abc: 19.3039 7.4685 9.9755
angles: 90.00 117.23 90.00
Closest atoms and distances in Å follow each position.
Space group C2/m (No. 12)
One atom of each set of equivalent atoms:
Tb1 0.0000 0.0000 0.0000 (multiplicity 2)  2 Nd 2.99
Tb2 0.1729 0.0000 0.6698 (multiplicity 4)  8 Nd 3.45-3.80, 2 Tb 3.74, 2 Sc 3.75
Tb3 0.1745 0.5000 0.6889 (multiplicity 4)  2 Sc 3.35, 4 Nd 3.70-3.72, 2 Tb 3.74
Nd1 0.0025 0.0000 0.7021 (multiplicity 4)  1 Tb 2.99, 2 Sc 3.03
Nd2 0.0079 0.5000 0.8220 (multiplicity 4)  5 Nd 3.35-3.70, 2 Sc 3.46
Nd3 0.1605 0.2475 0.3473 (multiplicity 8)  6 Nd 3.40-3.77, 3 Tb 3.62-3.80
Nd4 0.1652 0.2383 0.9975 (multiplicity 8)  5 Nd 3.26-3.64
Sc1 0.0000 0.3059 0.5000 (multiplicity 4)  1 Sc 2.90, 2 Nd 3.03

Computed values of N(E_F) (unit: states/eV/atom) for the preceding records, in sequence: 0.64, 1.68, 1.71.